Compound: MgCdAgPb
Source: the Alexandria database
Functional: PBE
Structure: relaxed

Calculated values
E_tot = -2.237 eV per atom
spin magnetization = 0.0 μB/f.u.

a = 7.175 Å, b = 7.175 Å, c = 7.175 Å
α = 90.00°, β = 90.00°, γ = 90.00°
Space group F-43m (No. 216)
One atom of each set of equivalent atoms:
Mg1 0.000 0.000 0.000 [4 per cell]
Cd1 0.250 0.250 0.250 [4 per cell]
Ag1 0.000 0.000 0.500 [4 per cell]
Pb1 0.250 0.250 0.750 [4 per cell]

=====

Compound: Zn2TeAs
Source: the Alexandria database
Functional: PBE
Structure: relaxed

Calculated values
E_form (uncorrected) = 0.097 eV per atom
spin magnetization = 0.0 μB/f.u.
energy relative to the lowest polymorph listed for this composition = 1.10 eV per formula unit

a = 5.907 Å, b = 7.765 Å, c = 4.366 Å
α = 90.00°, β = 118.50°, γ = 90.00°
Space group C2/m (No. 12)
One atom of each set of equivalent atoms:
Zn1 0.250 0.250 0.000 [4 per cell]
Te1 0.000 0.000 0.500 [2 per cell]
As1 0.000 0.500 0.500 [2 per cell]

=====

Compound: Ho4GaGeSe2
Source: the Alexandria database
Functional: PBE
Structure: relaxed

Calculated values
E_form (uncorrected) = -1.249 eV per atom
spin magnetization = 0.0 μB/f.u.

a = 5.795 Å, b = 5.795 Å, c = 11.644 Å
α = 90.00°, β = 90.00°, γ = 90.00°
Space group I-4m2 (No. 119)
One atom of each set of equivalent atoms:
Ho1 0.000 0.000 0.248 [4 per cell]
Ho2 0.000 0.500 0.002 [4 per cell]
Ga1 0.000 0.000 0.500 [2 per cell]
Ge1 0.000 0.500 0.250 [2 per cell]
Se1 0.000 0.000 0.000 [2 per cell]
Se2 0.000 0.500 0.750 [2 per cell]

=====

Compound: BSNF2
Source: the Alexandria database
Functional: PBE
Structure: relaxed

Calculated values
E_form (uncorrected) = 0.831 eV per atom
spin magnetization = 0.0 μB/f.u.
energy relative to the lowest polymorph listed for this composition = 3.43 eV per formula unit

a = 4.453 Å, b = 4.453 Å, c = 3.315 Å
α = 90.00°, β = 90.00°, γ = 90.00°
Space group P4/mmm (No. 123)
One atom of each set of equivalent atoms:
B1 0.000 0.000 0.000 [1 per cell]
S1 0.500 0.500 0.500 [1 per cell]
N1 0.500 0.500 0.000 [1 per cell]
F1 0.000 0.500 0.500 [2 per cell]

=====

Compound: Ge4H3Pd12
Source: the Alexandria database
Functional: PBE
Structure: relaxed

Calculated values
E_tot = -4.846 eV per atom
spin magnetization = 0.0 μB/f.u.

a = 8.571 Å, b = 8.571 Å, c = 8.571 Å
α = 90.00°, β = 90.00°, γ = 90.00°
Space group Im-3 (No. 204)
One atom of each set of equivalent atoms:
Ge1 0.250 0.250 0.250 [8 per cell]
H1 0.000 0.000 0.500 [6 per cell]
Pd1 0.000 0.343 0.160 [24 per cell]

=====

Compound: CrNi2W
Source: the Alexandria database
Functional: PBE
Structure: relaxed

Calculated values
spin magnetization = 0.8 μB/f.u.
energy relative to the lowest polymorph listed for this composition = 0.26 eV per formula unit

a = 3.049 Å, b = 3.049 Å, c = 5.362 Å
α = 90.00°, β = 90.00°, γ = 90.00°
Space group P4mm (No. 99)
One atom of each set of equivalent atoms:
Cr1 0.000 0.000 0.000 [1 per cell]
Ni1 0.000 0.000 0.467 [1 per cell]
Ni2 0.500 0.500 0.233 [1 per cell]
W1 0.500 0.500 0.729 [1 per cell]

=====

Compound: KHfGa2
Source: the Alexandria database
Functional: PBE
Structure: relaxed

Calculated values
spin magnetization = 0.0 μB/f.u.
energy relative to the lowest polymorph listed for this composition = 0.87 eV per formula unit

a = 5.412 Å, b = 5.412 Å, c = 18.572 Å
α = 90.00°, β = 90.00°, γ = 90.00°
Space group I-42d (No. 122)
One atom of each set of equivalent atoms:
K1 0.000 0.000 0.000 [4 per cell]
Hf1 0.000 0.000 0.500 [4 per cell]
Ga1 0.077 0.250 0.625 [8 per cell]

=====

Compound: Nd2RhBr
Source: the Alexandria database
Functional: PBE
Structure: relaxed

Calculated values
E_form (uncorrected) = -1.059 eV per atom
spin magnetization = 0.0 μB/f.u.
energy relative to the lowest polymorph listed for this composition = 0.06 eV per formula unit

a = 4.1085 Å, b = 4.1085 Å, c = 23.8022 Å
α = 90.00°, β = 90.00°, γ = 120.00°
Space group R3m (No. 160, hexagonal axes)
One atom of each set of equivalent atoms:
Nd1 0.0000 0.0000 0.0000 [3 per cell]
Nd2 0.0000 0.0000 0.2037 [3 per cell]
Rh1 0.0000 0.0000 0.6019 [3 per cell]
Br1 0.0000 0.0000 0.4327 [3 per cell]

=====

Compound: NaNbCu2W
Source: the Alexandria database
Functional: PBE
Structure: relaxed

Calculated values
E_tot = -4.402 eV per atom
spin magnetization = 1.4 μB/f.u.

a = 4.671 Å, b = 4.671 Å, c = 5.027 Å
α = 90.00°, β = 90.00°, γ = 90.00°
Space group P4/mmm (No. 123)
One atom of each set of equivalent atoms:
Na1 0.000 0.000 0.000 [1 per cell]
Nb1 0.500 0.500 0.000 [1 per cell]
Cu1 0.000 0.500 0.500 [2 per cell]
W1 0.000 0.000 0.500 [1 per cell]

=====

Compound: Pa2CoPdN5
Source: the Alexandria database
Functional: PBE
Structure: relaxed

Calculated values
E_form (uncorrected) = -0.649 eV per atom
spin magnetization = 0.0 μB/f.u.

a = 3.452 Å, b = 12.970 Å, c = 9.657 Å
α = 90.00°, β = 90.00°, γ = 90.00°
Space group Cmc2_1 (No. 36)
One atom of each set of equivalent atoms:
Pa1 0.000 0.110 0.000 [4 per cell]
Pa2 0.000 0.152 0.631 [4 per cell]
Co1 0.000 0.465 0.748 [4 per cell]
Pd1 0.000 0.197 0.326 [4 per cell]
N1 0.000 0.034 0.310 [4 per cell]
N2 0.000 0.285 0.003 [4 per cell]
N3 0.000 0.330 0.651 [4 per cell]
N4 0.000 0.364 0.317 [4 per cell]
N5 0.000 0.483 0.069 [4 per cell]

=====

Compound: TbBe2Ir2
Source: the Alexandria database
Functional: PBE
Structure: relaxed

Calculated values
spin magnetization = 0.0 μB/f.u.
energy relative to the lowest polymorph listed for this composition = 0.00 eV per formula unit

a = 4.172 Å, b = 4.172 Å, c = 8.798 Å
α = 90.00°, β = 90.00°, γ = 90.00°
Space group I4/mmm (No. 139)
One atom of each set of equivalent atoms:
Tb1 0.000 0.000 0.000 [2 per cell]
Be1 0.000 0.000 0.350 [4 per cell]
Ir1 0.000 0.500 0.250 [4 per cell]

=====

Compound: DyNi2H
Source: the Alexandria database
Functional: PBE
Structure: relaxed

Calculated values
E_tot = -4.473 eV per atom
spin magnetization = 0.0 μB/f.u.

a = 2.9732 Å, b = 2.9732 Å, c = 20.8768 Å
α = 90.00°, β = 90.00°, γ = 120.00°
Space group R-3m (No. 166, hexagonal axes)
One atom of each set of equivalent atoms:
Dy1 0.0000 0.0000 0.0000 [3 per cell]
Ni1 0.0000 0.0000 0.1239 [6 per cell]
H1 0.0000 0.0000 0.5000 [3 per cell]